## DyMnZn17 (PBE)

Data for an optimized crystal structure of DyMnZn17.

```
DyMnZn17
1.0
4.436 2.561 4.419
-4.436 2.561 4.419
0.000 -5.122 4.419
Dy Mn Zn
1 1 17
Cartesian
0.000 0.000 0.000
0.000 0.000 3.634
0.000 -2.469 2.275
-2.138 1.235 2.275
-2.278 -1.315 6.661
0.000 -2.601 6.406
-2.253 1.301 6.406
-1.303 -2.430 8.792
-2.756 0.086 8.792
2.138 1.235 2.275
0.000 0.000 7.404
1.303 -2.430 8.792
-1.453 2.344 8.792
2.278 -1.315 6.661
0.000 2.630 6.661
0.000 0.000 10.075
2.253 1.301 6.406
2.756 0.086 8.792
1.453 2.344 8.792
```

Summary:
* total magnetization: 4.0 μB per formula unit
* N(E_F): 0.28 states/eV per atom
* E: -1.93 eV/atom
* calculated formation energy: -0.065 eV per atom
* space group: R3m

***

## DyMnZn11 (PBE)

Data for an optimized crystal structure of DyMnZn11.

```
DyMnZn11
1.0
2.623 -6.246 0.000
2.623 6.246 0.000
-2.594 0.000 6.264
Dy Mn Zn
1 1 11
Cartesian
0.000 0.000 0.000
-1.297 0.000 3.132
1.311 3.123 0.000
0.087 4.071 4.050
0.005 1.361 4.896
2.565 4.071 2.214
0.005 -1.361 4.896
1.311 -3.123 0.000
1.326 0.000 3.132
2.646 1.361 1.369
0.087 -4.071 4.050
2.646 -1.361 1.369
2.565 -4.071 2.214
```

Summary:
* total magnetization: 3.3 μB per formula unit
* N(E_F): 0.40 states/eV per atom
* E: -2.28 eV/atom
* calculated formation energy: -0.145 eV per atom
* space group: C2/m

***

## DyZrMnZn (PBE)

Data for an optimized crystal structure of DyZrMnZn.

```
DyZrMnZn
1.0
6.818 0.000 0.000
0.000 6.818 0.000
0.000 0.000 6.818
Dy Zr Mn Zn
4 4 4 4
Cartesian
0.000 0.000 0.000
0.000 3.409 3.409
3.409 0.000 3.409
3.409 3.409 0.000
0.000 0.000 3.409
0.000 3.409 0.000
3.409 0.000 0.000
3.409 3.409 3.409
1.704 1.704 1.704
1.704 5.113 5.113
5.113 1.704 5.113
5.113 5.113 1.704
1.704 1.704 5.113
1.704 5.113 1.704
5.113 1.704 1.704
5.113 5.113 5.113
```

Summary:
* total magnetization: 1.7 μB per formula unit
* N(E_F): 1.01 states/eV per atom
* E: -5.92 eV/atom
* calculated formation energy: -0.018 eV per atom
* space group: F-43m

***

## DyZrMn (PBE)

Data for an optimized crystal structure of DyZrMn.

```
DyZrMn
1.0
3.471 0.000 0.000
0.000 3.471 0.000
0.000 0.000 11.014
Dy Zr Mn
2 2 2
Cartesian
0.000 0.000 0.000
1.735 1.735 5.507
0.000 0.000 3.127
1.735 1.735 8.634
0.000 0.000 7.482
1.735 1.735 1.975
```

Summary:
* total magnetization: 1.3 μB per formula unit
* N(E_F): 1.33 states/eV per atom
* E: -7.30 eV/atom
* calculated formation energy: 0.144 eV per atom
* space group: I4mm

***

## DyZrMn4 (PBE)

Data for an optimized crystal structure of DyZrMn4.

```
DyZrMn4
1.0
0.000 3.558 3.558
3.558 0.000 3.558
3.558 3.558 0.000
Dy Zr Mn
1 1 4
Cartesian
0.000 0.000 0.000
1.779 1.779 1.779
4.445 2.672 2.672
2.672 4.445 2.672
2.672 2.672 4.445
4.445 4.445 4.445
```

Summary:
* total magnetization: 2.3 μB per formula unit
* N(E_F): 1.30 states/eV per atom
* E: -8.30 eV/atom
* calculated formation energy: 0.001 eV per atom
* space group: F-43m

***

## DyZrMn (PBE)

Data for an optimized crystal structure of DyZrMn.

```
DyZrMn
1.0
3.155 0.000 0.000
0.000 4.236 0.000
0.000 0.000 5.258
Dy Zr Mn
1 1 1
Cartesian
0.000 0.000 0.000
0.000 2.118 2.629
1.578 0.000 2.629
```

Summary:
* total magnetization: 1.4 μB per formula unit
* N(E_F): 1.45 states/eV per atom
* E: -7.11 eV/atom
* calculated formation energy: 0.333 eV per atom
* space group: Pmmm

***

- Among the records above, which one has the highest total magnetization?
  DyMnZn17

***

- E of number 3 (DyZrMnZn)?
  -5.92 eV/atom